Below is SbMoS2Cl after structural relaxation, with properties calculated at the PBE level.

Values from the calculation:
Its formation energy (no corrections) is 0.770 eV/atom. Its total magnetization is 4.40 μB/f.u. Its density of states at the Fermi level is 0.75 states/eV/atom. Its energy above the most stable polymorph in this dataset is 663 meV per atom.

Cell: 5.1115 5.1115 5.0738 Å, 90.00 90.00 90.00°
Closest atoms and distances in Å follow each position.
Positions (direct):
Sb 0.0000 0.0000 0.0000  2 Cl 2.54, 4 S 2.56
Mo 0.5000 0.5000 0.5000  8 S 3.60, 4 Cl 3.61
S 0.0000 0.5000 0.0000  2 Sb 2.56
S 0.5000 0.0000 0.0000  2 Sb 2.56
Cl 0.0000 0.0000 0.5000  2 Sb 2.54


Below is SbMoSCl2 after structural relaxation, with properties calculated at the PBE level.

Values from the calculation:
Its formation energy (no corrections) is 0.120 eV/atom. Its total magnetization is 2.16 μB/f.u. Its density of states at the Fermi level is 0.89 states/eV/atom. Its energy above the most stable polymorph in this dataset is 0 meV per atom.

Cell: 4.8804 4.8804 4.7536 Å, 90.00 90.00 90.00°
Closest atoms and distances in Å follow each position.
Positions (direct):
Sb 0.5000 0.5000 0.5000  8 Cl 3.41, 4 S 3.45
Mo 0.0000 0.0000 0.0000  2 S 2.38, 4 Cl 2.44
S 0.0000 0.0000 0.5000  2 Mo 2.38
Cl 0.0000 0.5000 0.0000  2 Mo 2.44
Cl 0.5000 0.0000 0.0000  2 Mo 2.44


Below is SbMoSCl2 after structural relaxation, with properties calculated at the PBE level.

Values from the calculation:
Its formation energy (no corrections) is 0.584 eV/atom. Its total magnetization is 4.95 μB/f.u. Its density of states at the Fermi level is 0.35 states/eV/atom. Its energy above the most stable polymorph in this dataset is 464 meV per atom.

Cell: 5.2649 5.2649 5.2184 Å, 90.00 90.00 90.00°
Closest atoms and distances in Å follow each position.
Positions (direct):
Sb 0.0000 0.0000 0.0000  2 S 2.61, 4 Cl 2.63
Mo 0.5000 0.5000 0.5000  8 Cl 3.71, 4 S 3.72
S 0.0000 0.0000 0.5000  2 Sb 2.61
Cl 0.0000 0.5000 0.0000  2 Sb 2.63
Cl 0.5000 0.0000 0.0000  2 Sb 2.63